Record 1
Compound: FeCoH3Rh
Source: Alexandria via LeMat-Bulk
Functional: GGA-PBE
Structure: optimized geometry

Cell lengths 2.7656, 4.2290, 7.4113 Å; angles 90.01, 90.00, 90.00 degrees
Last column: nearest neighbours and their distance in Å.
Sites, in units of the cell vectors:
1 Fe 0.2500 0.2501 0.2490  6 H 1.95-2.01
2 Fe 0.7500 0.7499 0.7510  6 H 1.95-2.01
3 Co 0.2500 0.7500 0.0511  6 H 1.77-1.83
4 Co 0.7500 0.2500 0.9489  6 H 1.77-1.83
5 H 0.7500 0.9897 0.1364  3 Co 1.77-1.83, 2 Fe 1.95
6 H 0.2500 0.0103 0.8636  3 Co 1.77-1.83, 2 Fe 1.95
7 H 0.2500 0.7515 0.5544  2 Rh 1.86, 2 Fe 2.01
8 H 0.7500 0.2485 0.4456  2 Rh 1.86, 2 Fe 2.01
9 H 0.7500 0.5103 0.1366  3 Co 1.77-1.83, 2 Fe 1.95
10 H 0.2500 0.4897 0.8634  3 Co 1.77-1.83, 2 Fe 1.95
11 Rh 0.2500 0.2500 0.6125  2 H 1.86
12 Rh 0.7500 0.7500 0.3875  2 H 1.86

## Properties
Uncorrected energy   -5.488 eV/atom

***

Record 2
Compound: FeCoH4Rh2
Source: Alexandria via LeMat-Bulk
Functional: GGA-PBE
Structure: optimized geometry

Cell lengths 5.5349, 5.5349, 5.5359 Å; angles 120.00, 120.00, 90.27 degrees
Last column: nearest neighbours and their distance in Å.
Sites, in units of the cell vectors:
1 Fe 0.0000 0.5000 0.0000  6 H 1.94-1.95
2 Fe 0.0000 0.5000 0.5000  6 H 1.94-1.95
3 Co 0.5000 0.5000 0.5000  6 H 1.85-1.87
4 Co 0.0000 0.0000 0.0000  6 H 1.85-1.87
5 H 0.2312 0.7597 0.9955  1 Co 1.85, 2 Fe 1.94, 2 Rh 1.97
6 H 0.7403 0.2688 0.5045  1 Co 1.85, 2 Fe 1.94, 2 Rh 1.97
7 H 0.2597 0.7312 0.4955  1 Co 1.85, 2 Fe 1.94, 2 Rh 1.97
8 H 0.7688 0.2403 0.0045  1 Co 1.85, 2 Fe 1.94, 2 Rh 1.97
9 H 0.7514 0.7485 0.9789  2 Co 1.87, 1 Fe 1.95, 3 Rh 1.98-2.04
10 H 0.7515 0.7486 0.5211  2 Co 1.87, 1 Fe 1.95, 3 Rh 1.98-2.04
11 H 0.2485 0.2514 0.4789  2 Co 1.87, 1 Fe 1.95, 3 Rh 1.98-2.04
12 H 0.2486 0.2515 0.0211  2 Co 1.87, 1 Fe 1.95, 3 Rh 1.98-2.04
13 Rh 0.5000 0.0000 0.0000  6 H 1.97-1.98
14 Rh 0.5000 0.0000 0.5000  6 H 1.97-1.98
15 Rh 0.0000 0.0000 0.5000  6 H 2.04-2.07
16 Rh 0.5000 0.5000 0.0000  6 H 2.04-2.07

## Properties
Uncorrected energy   -5.451 eV/atom

***

Record 3
Compound: FeCo2H4Rh
Source: Alexandria via LeMat-Bulk
Functional: GGA-PBE
Structure: optimized geometry

Cell lengths 5.4017, 5.4017, 5.4235 Å; angles 120.11, 120.11, 89.93 degrees
Last column: nearest neighbours and their distance in Å.
Sites, in units of the cell vectors:
1 Fe 0.5000 0.5000 0.5000  6 H 1.97
2 Fe 0.0000 0.9999 0.0000  6 H 1.97
3 Co 0.5000 0.0000 0.0000  6 H 1.82
4 Co 0.5000 0.0000 0.5000  6 H 1.82
5 Co 0.0000 0.0000 0.5000  6 H 1.85-1.86
6 Co 0.5000 0.5000 0.0000  6 H 1.85-1.86
7 H 0.2819 0.7665 0.0242  3 Co 1.82-1.85, 1 Fe 1.97, 2 Rh 2.01
8 H 0.7335 0.2181 0.4758  3 Co 1.82-1.85, 1 Fe 1.97, 2 Rh 2.01
9 H 0.2665 0.7819 0.5242  3 Co 1.82-1.85, 1 Fe 1.97, 2 Rh 2.01
10 H 0.7181 0.2335 0.9758  3 Co 1.82-1.85, 1 Fe 1.97, 2 Rh 2.01
11 H 0.7387 0.7613 0.0153  3 Co 1.82-1.86, 2 Fe 1.97, 1 Rh 2.00
12 H 0.7387 0.7613 0.4847  3 Co 1.82-1.86, 2 Fe 1.97, 1 Rh 2.00
13 H 0.2613 0.2387 0.5153  3 Co 1.82-1.86, 2 Fe 1.97, 1 Rh 2.00
14 H 0.2613 0.2387 0.9847  3 Co 1.82-1.86, 2 Fe 1.97, 1 Rh 2.00
15 Rh 0.0000 0.5000 0.0000  6 H 2.00-2.01
16 Rh 0.0000 0.5001 0.5000  6 H 2.00-2.01

## Properties
Uncorrected energy   -5.424 eV/atom

***

Record 4
Compound: FeCo2HRu
Source: Alexandria via LeMat-Bulk
Functional: GGA-PBE
Structure: optimized geometry

Cell lengths 3.6194, 3.6194, 3.6887 Å; angles 90.00, 90.00, 90.00 degrees
Last column: nearest neighbours and their distance in Å.
Sites, in units of the cell vectors:
1 Ru 0.5000 0.5000 0.5000  4 Fe 2.56, 8 Co 2.58
2 Co 0.0000 0.5000 0.0000  2 H 1.81
3 Co 0.5000 0.0000 0.0000  2 H 1.81
4 Fe 0.0000 0.0000 0.5000  2 H 1.84
5 H 0.0000 0.0000 0.0000  4 Co 1.81, 2 Fe 1.84

## Properties
Excess energy over the best structure of this formula in the dataset   9 meV per atom

***

no.,density of states at the Fermi level (states/eV per atom),magnetic moment (Bohr magnetons per cell)
1,0.535,8.5
2,0.471,8.5
3,0.604,10.3
4,1.150,4.1